Here is an optimized crystal structure of ThMg4Ag2 from Alexandria. Energies are from PBE.

The value obtained for the calculated density is 5.76 g/cm³. As for the space group: P4_2/mnm (136). For the formation energy, the calculation gives -0.100 eV per atom.

Geometry as CIF:
```
data_ThMg4Ag2
_chemical_formula_sum 'Th2 Mg8 Ag4'
_cell_length_a 4.645
_cell_length_b 8.224
_cell_length_c 8.224
_cell_angle_alpha 90.00
_cell_angle_beta 90.00
_cell_angle_gamma 90.00
_symmetry_space_group_name_H-M 'P 1'
_symmetry_Int_Tables_number 1
loop_
_symmetry_equiv_pos_as_xyz
'x,y,z'
loop_
_atom_site_label
_atom_site_type_symbol
_atom_site_fract_x
_atom_site_fract_y
_atom_site_fract_z
Ag1 Ag 0.500 0.281 0.281
Ag2 Ag 0.000 0.781 0.219
Ag3 Ag 0.500 0.719 0.719
Ag4 Ag 0.000 0.219 0.781
Mg1 Mg 0.500 0.839 0.410
Mg2 Mg 0.000 0.339 0.090
Mg3 Mg 0.000 0.661 0.910
Mg4 Mg 0.000 0.090 0.339
Mg5 Mg 0.500 0.410 0.839
Mg6 Mg 0.000 0.910 0.661
Mg7 Mg 0.500 0.161 0.590
Mg8 Mg 0.500 0.590 0.161
Th1 Th 0.000 0.500 0.500
Th2 Th 0.500 0.000 0.000
```

***

Here is an optimized crystal structure of YScZn2 from Alexandria. Energies are from PBE.

The value obtained for the calculated density is 5.28 g/cm³. As for the space group: F-43m (216). For the formation energy, the calculation gives 0.072 eV per atom.

Geometry as CIF:
```
data_YScZn2
_chemical_formula_sum 'Y1 Sc1 Zn2'
_cell_length_a 4.902
_cell_length_b 4.902
_cell_length_c 4.902
_cell_angle_alpha 60.00
_cell_angle_beta 60.00
_cell_angle_gamma 60.00
_symmetry_space_group_name_H-M 'P 1'
_symmetry_Int_Tables_number 1
loop_
_symmetry_equiv_pos_as_xyz
'x,y,z'
loop_
_atom_site_label
_atom_site_type_symbol
_atom_site_fract_x
_atom_site_fract_y
_atom_site_fract_z
Zn1 Zn 0.250 0.250 0.250
Zn2 Zn 0.000 0.000 0.000
Y1 Y 0.750 0.750 0.750
Sc1 Sc 0.500 0.500 0.500
```

***

Here is an optimized crystal structure of TbCe4Tl3 from Alexandria. Energies are from PBE.

The value obtained for the calculated density is 10.10 g/cm³. As for the space group: C2/m (12). For the formation energy, the calculation gives -0.203 eV per atom.

Geometry as CIF:
```
data_TbCe4Tl3
_chemical_formula_sum 'Tb1 Ce4 Tl3'
_cell_length_a 3.446
_cell_length_b 5.781
_cell_length_c 13.328
_cell_angle_alpha 123.33
_cell_angle_beta 97.43
_cell_angle_gamma 90.00
_symmetry_space_group_name_H-M 'P 1'
_symmetry_Int_Tables_number 1
loop_
_symmetry_equiv_pos_as_xyz
'x,y,z'
loop_
_atom_site_label
_atom_site_type_symbol
_atom_site_fract_x
_atom_site_fract_y
_atom_site_fract_z
Ce1 Ce 0.632 0.714 0.264
Ce2 Ce 0.738 0.725 0.476
Ce3 Ce 0.262 0.275 0.524
Ce4 Ce 0.368 0.286 0.736
Tl1 Tl 0.125 0.188 0.249
Tl2 Tl 0.875 0.812 0.751
Tl3 Tl 0.000 0.500 0.000
Tb1 Tb 0.500 0.000 0.000
```

***

Here is an optimized crystal structure of VHgGe3 from Alexandria. Energies are from PBE.

The value obtained for the calculated density is 6.94 g/cm³. As for the space group: Pm-3m (221). For the formation energy, the calculation gives 0.229 eV per atom. The excess energy over the best structure of this formula in the dataset comes out at 0.0000 eV per atom.

Geometry as CIF:
```
data_VHgGe3
_chemical_formula_sum 'V1 Hg1 Ge3'
_cell_length_a 4.826
_cell_length_b 4.826
_cell_length_c 4.826
_cell_angle_alpha 90.00
_cell_angle_beta 90.00
_cell_angle_gamma 90.00
_symmetry_space_group_name_H-M 'P 1'
_symmetry_Int_Tables_number 1
loop_
_symmetry_equiv_pos_as_xyz
'x,y,z'
loop_
_atom_site_label
_atom_site_type_symbol
_atom_site_fract_x
_atom_site_fract_y
_atom_site_fract_z
Ge1 Ge 0.500 0.000 0.000
Ge2 Ge 0.000 0.500 0.000
Ge3 Ge 0.000 0.000 0.500
Hg1 Hg 0.500 0.500 0.500
V1 V 0.000 0.000 0.000
```

***

Here is an optimized crystal structure of CrBiAs2Se from Alexandria. Energies are from PBE.

The value obtained for the calculated density is 7.06 g/cm³. As for the space group: P4/mmm (123). The excess energy over the best structure of this formula in the dataset comes out at 0.0000 eV per atom.

Geometry as CIF:
```
data_CrBiAs2Se
_chemical_formula_sum 'Cr1 Bi1 As2 Se1'
_cell_length_a 4.620
_cell_length_b 4.620
_cell_length_c 5.395
_cell_angle_alpha 90.00
_cell_angle_beta 90.00
_cell_angle_gamma 90.00
_symmetry_space_group_name_H-M 'P 1'
_symmetry_Int_Tables_number 1
loop_
_symmetry_equiv_pos_as_xyz
'x,y,z'
loop_
_atom_site_label
_atom_site_type_symbol
_atom_site_fract_x
_atom_site_fract_y
_atom_site_fract_z
Cr1 Cr 0.000 0.000 0.000
As1 As 0.000 0.500 0.000
As2 As 0.500 0.000 0.000
Bi1 Bi 0.500 0.500 0.500
Se1 Se 0.000 0.000 0.500
```

***

Here is an optimized crystal structure of Li2TmAg3 from Alexandria. Energies are from PBE.

The value obtained for the calculated density is 7.50 g/cm³. As for the space group: P4/mmm (123). For the formation energy, the calculation gives -0.231 eV per atom.

Geometry as CIF:
```
data_Li2TmAg3
_chemical_formula_sum 'Li2 Tm1 Ag3'
_cell_length_a 3.394
_cell_length_b 3.394
_cell_length_c 9.737
_cell_angle_alpha 90.00
_cell_angle_beta 90.00
_cell_angle_gamma 90.00
_symmetry_space_group_name_H-M 'P 1'
_symmetry_Int_Tables_number 1
loop_
_symmetry_equiv_pos_as_xyz
'x,y,z'
loop_
_atom_site_label
_atom_site_type_symbol
_atom_site_fract_x
_atom_site_fract_y
_atom_site_fract_z
Li1 Li 0.500 0.500 0.849
Li2 Li 0.500 0.500 0.151
Tm1 Tm 0.500 0.500 0.500
Ag1 Ag 0.000 0.000 0.697
Ag2 Ag 0.000 0.000 0.000
Ag3 Ag 0.000 0.000 0.303
```